# CsZr2ScB | Alexandria | GGA-PBE | relaxed
# Symmetry   P4/mmm, No. 123
# Electronic total energy   -0.14694 Ha/atom
# Size of the total moment   1.32 Bohr magnetons per cell
data_CsZr2ScB
_cell_length_a 5.190
_cell_length_b 6.080
_cell_length_c 5.190
_cell_angle_alpha 90.00
_cell_angle_beta 90.00
_cell_angle_gamma 90.00
_space_group_name_H-M_alt 'P 1'
_space_group_IT_number 1
loop_
_space_group_symop_operation_xyz
'x,y,z'
loop_
_atom_site_label
_atom_site_type_symbol
_atom_site_fract_x
_atom_site_fract_y
_atom_site_fract_z
Cs1 Cs 0.000 0.500 0.000
Sc1 Sc 0.000 0.000 0.000
B1 B 0.500 0.500 0.500
Zr1 Zr 0.000 0.000 0.500
Zr2 Zr 0.500 0.000 0.000

***

# CsBSe2 | Alexandria | GGA-PBE | relaxed
# Symmetry   Cmcm, No. 63
# Size of the total moment   0.00 Bohr magnetons per cell
# Formation energy (no corrections)   -1.92 eV per formula unit
data_CsBSe2
_cell_length_a 9.871
_cell_length_b 9.871
_cell_length_c 7.602
_cell_angle_alpha 90.00
_cell_angle_beta 90.00
_cell_angle_gamma 147.00
_space_group_name_H-M_alt 'P 1'
_space_group_IT_number 1
loop_
_space_group_symop_operation_xyz
'x,y,z'
loop_
_atom_site_label
_atom_site_type_symbol
_atom_site_fract_x
_atom_site_fract_y
_atom_site_fract_z
Cs1 Cs 0.369 0.631 0.250
Cs2 Cs 0.631 0.369 0.750
B1 B 0.080 0.920 0.250
B2 B 0.920 0.080 0.750
Se1 Se 0.176 0.824 0.250
Se2 Se 0.824 0.176 0.750
Se3 Se 0.985 0.015 0.250
Se4 Se 0.015 0.985 0.750

***

# CsBSe2 | Alexandria | GGA-PBE | relaxed
# Symmetry   P4/mmm, No. 123
# Size of the total moment   0.94 Bohr magnetons per cell
# Formation energy (no corrections)   4.03 eV per formula unit
data_CsBSe2
_cell_length_a 6.123
_cell_length_b 6.123
_cell_length_c 6.987
_cell_angle_alpha 64.01
_cell_angle_beta 64.01
_cell_angle_gamma 90.00
_space_group_name_H-M_alt 'P 1'
_space_group_IT_number 1
loop_
_space_group_symop_operation_xyz
'x,y,z'
loop_
_atom_site_label
_atom_site_type_symbol
_atom_site_fract_x
_atom_site_fract_y
_atom_site_fract_z
Cs1 Cs 0.750 0.250 0.500
Cs2 Cs 0.250 0.750 0.500
B1 B 0.750 0.750 0.500
B2 B 0.250 0.250 0.500
Se1 Se 0.750 0.250 0.000
Se2 Se 0.250 0.750 0.000
Se3 Se 0.250 0.250 0.000
Se4 Se 0.750 0.750 0.000

***

# Cs2BSe | Alexandria | GGA-PBE | relaxed
# Symmetry   Fm-3m, No. 225
# Size of the total moment   1.00 Bohr magnetons per cell
# Formation energy (no corrections)   2.28 eV per formula unit
# Excess energy over the best structure of this formula in the dataset   0 meV per atom
data_Cs2BSe
_cell_length_a 6.000
_cell_length_b 6.000
_cell_length_c 6.000
_cell_angle_alpha 60.00
_cell_angle_beta 60.00
_cell_angle_gamma 60.00
_space_group_name_H-M_alt 'P 1'
_space_group_IT_number 1
loop_
_space_group_symop_operation_xyz
'x,y,z'
loop_
_atom_site_label
_atom_site_type_symbol
_atom_site_fract_x
_atom_site_fract_y
_atom_site_fract_z
Cs1 Cs 0.250 0.250 0.250
Cs2 Cs 0.750 0.750 0.750
B1 B 0.000 0.000 0.000
Se1 Se 0.500 0.500 0.500

***

Repeat the fourth record exactly.
# Cs2BSe | Alexandria | GGA-PBE | relaxed
# Symmetry   Fm-3m, No. 225
# Size of the total moment   1.00 Bohr magnetons per cell
# Formation energy (no corrections)   2.28 eV per formula unit
# Excess energy over the best structure of this formula in the dataset   0 meV per atom
data_Cs2BSe
_cell_length_a 6.000
_cell_length_b 6.000
_cell_length_c 6.000
_cell_angle_alpha 60.00
_cell_angle_beta 60.00
_cell_angle_gamma 60.00
_space_group_name_H-M_alt 'P 1'
_space_group_IT_number 1
loop_
_space_group_symop_operation_xyz
'x,y,z'
loop_
_atom_site_label
_atom_site_type_symbol
_atom_site_fract_x
_atom_site_fract_y
_atom_site_fract_z
Cs1 Cs 0.250 0.250 0.250
Cs2 Cs 0.750 0.750 0.750
B1 B 0.000 0.000 0.000
Se1 Se 0.500 0.500 0.500